Cu5PdAu (PBE, optimized geometry); E_form = 0.07 eV per atom; calculated volume = 14.590 Å³ per atom; total DFT energy (no corrections) = -28.48 eV/f.u.; space group = No. 65; total magnetic moment = 0.000 μB/f.u.
1.0
4.576 -0.069 0.000
-1.554 4.305 0.000
0.000 0.000 5.213
Cu Pd Au
5 1 1
Direct
0.500 0.000 0.252
0.000 0.500 0.252
0.000 0.000 0.500
0.000 0.500 0.748
0.500 0.000 0.748
0.500 0.500 0.500
0.000 0.000 0.000